Record 1
KTcBr2: relaxed, PBEsol.

Results
offset from the most stable computed form	286.4	meV per atom
formation energy without anion corrections	0.171	eV/atom

abc: 5.132 5.132 5.132
angles: 60.00 60.00 60.00
Positions (direct):
K: 0.000 0.000 0.000
Tc: 0.500 0.500 0.500
Br: 0.250 0.250 0.250
Br: 0.750 0.750 0.750


Record 2
Ba2CaBe: relaxed, PBEsol.

Results
ΔH_f (0 K)	110	kJ/mol of formula units

abc: 3.859 3.859 10.128
angles: 90.00 90.00 90.00
Positions (direct):
Ba: 0.000 0.000 0.000
Ba: 0.500 0.500 0.356
Ca: 0.500 0.500 0.695
Be: 0.000 0.000 0.554


no.,calculated total energy (eV per atom)
1,-3.8637
2,-2.3234